P) Here is a relaxed PaTi2Bi crystal from Alexandria via LeMat-Bulk. Energies are from PBE.

Structure (POSCAR):
```
PaTi2Bi
1.0
3.182 0.000 0.000
0.000 7.543 0.000
-0.003 0.000 7.495
Pa Ti Bi
2 4 2
Direct
0.000 0.214 0.000 Pa
0.000 0.786 0.500 Pa
0.002 0.219 0.596 Ti
0.002 0.781 0.096 Ti
0.500 0.054 0.303 Ti
0.500 0.946 0.803 Ti
0.501 0.454 0.314 Bi
0.501 0.546 0.814 Bi
```

***

Q) Here is a relaxed PaTi2Bi crystal from Alexandria via LeMat-Bulk. Energies are from PBE.

Structure (POSCAR):
```
PaTi2Bi
1.0
0.000 3.451 3.451
3.451 0.000 3.451
3.451 3.451 0.000
Pa Ti Bi
1 2 1
Direct
0.000 0.000 0.000 Pa
0.250 0.250 0.250 Ti
0.750 0.750 0.750 Ti
0.500 0.500 0.500 Bi
```

***

R) Here is a relaxed PaTi2Bi crystal from Alexandria via LeMat-Bulk. Energies are from PBE.

Structure (POSCAR):
```
PaTi2Bi
1.0
4.712 0.000 0.000
0.000 4.712 0.000
0.000 0.000 3.742
Pa Ti Bi
1 2 1
Direct
0.000 0.000 0.000 Pa
0.000 0.500 0.500 Ti
0.500 0.000 0.500 Ti
0.500 0.500 0.000 Bi
```

***

Energy comparison, zero being the most stable, in meV per atom: P) 174; Q) 87; R) 0.

***

P) Here is a relaxed PaTiBi crystal from Alexandria via LeMat-Bulk. Energies are from PBE.

Structure (POSCAR):
```
PaTiBi
1.0
6.096 -1.593 0.000
6.096 1.593 0.000
-1.855 0.000 7.349
Pa Ti Bi
2 2 2
Direct
0.190 0.190 0.142 Pa
0.810 0.810 0.858 Pa
0.157 0.157 0.518 Ti
0.843 0.843 0.482 Ti
0.468 0.468 0.242 Bi
0.532 0.532 0.758 Bi
```

***

Q) Here is a relaxed PaTiBi crystal from Alexandria via LeMat-Bulk. Energies are from PBE.

Structure (POSCAR):
```
PaTiBi
1.0
3.248 0.000 0.000
-1.624 2.813 0.000
0.000 0.000 7.913
Pa Ti Bi
1 1 1
Direct
0.000 0.000 0.000 Pa
0.667 0.333 0.315 Ti
0.333 0.667 0.625 Bi
```

***

Energy comparison, zero being the most stable, in meV per atom: P) 0; Q) 102.